Record 1
## LiMnBr6 (PBE)

Data for a relaxed structure of LiMnBr6.

Output
total DFT energy (no corrections)	-26.1	eV for the cell shown
ΔE_f (raw)	-4.99	eV/f.u.
polymorph energy (0 for the lowest one)	0.00	eV per formula unit

Cell: 7.4315 6.2761 6.5907 Å, 87.54 85.85 53.70°
With the nearest neighbours (Å) after each atom.
Fractional coordinates of all 8 atoms:
1 Br 0.0235 0.6687 0.2290  1 Mn 2.44, 1 Li 2.72
2 Br 0.6922 0.3313 0.2290  1 Mn 2.44, 1 Li 2.72
3 Br 0.3078 0.6687 0.7710  1 Mn 2.44, 1 Li 2.72
4 Br 0.2656 0.0000 0.2026  1 Mn 2.46, 1 Li 2.68
5 Br 0.7344 0.0000 0.7974  1 Mn 2.46, 1 Li 2.68
6 Br 0.9765 0.3313 0.7710  1 Mn 2.44, 1 Li 2.72
7 Li 0.0000 0.0000 0.5000  6 Br 2.68-2.72
8 Mn 0.0000 0.0000 0.0000  6 Br 2.44-2.46

---

Record 2
## Li2MnBr4 (PBE)

Data for a relaxed structure of Li2MnBr4.

Output
total DFT energy (no corrections)	-27.9	eV for the cell shown
ΔE_f (raw)	-8.18	eV/f.u.
polymorph energy (0 for the lowest one)	0.27	eV per formula unit

Cell: 6.7640 6.7640 6.7640 Å, 131.92 131.92 70.35°
With the nearest neighbours (Å) after each atom.
Fractional coordinates of all 7 atoms:
1 Br 0.2635 0.2635 0.0000  1 Mn 2.61, 4 Li 2.76
2 Br 0.0000 0.5000 0.5000  2 Mn 2.76, 2 Li 2.76
3 Br 0.5000 0.0000 0.5000  2 Mn 2.76, 2 Li 2.76
4 Br 0.7365 0.7365 0.0000  1 Mn 2.61, 4 Li 2.76
5 Li 0.7500 0.2500 0.5000  6 Br 2.76
6 Li 0.2500 0.7500 0.5000  6 Br 2.76
7 Mn 0.5000 0.5000 0.0000  6 Br 2.61-2.76

---

Record 3
## NaLiMn2Br6 (PBE)

Data for a relaxed structure of NaLiMn2Br6.

Output
total DFT energy (no corrections)	-42.0	eV for the cell shown
ΔE_f (raw)	-10.39	eV/f.u.

Cell: 6.9807 6.9807 7.4384 Å, 62.02 62.02 59.98°
With the nearest neighbours (Å) after each atom.
Fractional coordinates of all 10 atoms:
1 Br 0.1344 0.3781 0.7513  2 Mn 2.66-2.79, 1 Li 2.76, 1 Na 2.88
2 Br 0.9012 0.6108 0.2408  2 Mn 2.67-2.77, 1 Li 2.79
3 Br 0.7363 0.1344 0.7512  2 Mn 2.66-2.79, 1 Li 2.76, 1 Na 2.88
4 Br 0.3781 0.7364 0.7512  2 Mn 2.66-2.79, 1 Li 2.76, 1 Na 2.88
5 Br 0.2474 0.9010 0.2407  2 Mn 2.67-2.77, 1 Li 2.79
6 Br 0.6109 0.2473 0.2408  2 Mn 2.67-2.77, 1 Li 2.79
7 Mn 0.5134 0.5134 0.4602  6 Br 2.67-2.79
8 Mn 0.0079 0.0081 0.9759  6 Br 2.66-2.77
9 Li 0.3212 0.3214 0.0358  6 Br 2.76-2.79
10 Na 0.8109 0.8109 0.5674  6 Br 2.88-3.02

---

Record 4
## Na3Li3MnBr8 (PBE)

Data for a relaxed structure of Na3Li3MnBr8.

Output
total DFT energy (no corrections)	-53.0	eV for the cell shown
ΔE_f (raw)	-20.78	eV/f.u.

Cell: 8.0335 8.0368 8.2512 Å, 119.14 90.00 119.99°
With the nearest neighbours (Å) after each atom.
Fractional coordinates of all 15 atoms:
1 Na 0.0000 0.5000 0.0000  6 Br 2.97
2 Na 0.5000 0.5000 0.0000  6 Br 2.97
3 Na 0.0000 0.0000 0.0000  6 Br 2.97-2.98
4 Br 0.7640 0.5280 0.2785  1 Mn 2.72, 2 Li 2.79, 2 Na 2.97
5 Br 0.7495 0.9857 0.7216  1 Mn 2.72, 2 Li 2.79-2.80, 2 Na 2.97-2.98
6 Br 0.7638 0.0143 0.2784  1 Mn 2.72, 2 Li 2.79-2.80, 2 Na 2.97-2.98
7 Br 0.2362 0.9857 0.7216  1 Mn 2.72, 2 Li 2.79-2.80, 2 Na 2.97-2.98
8 Br 0.2360 0.4720 0.7215  1 Mn 2.72, 2 Li 2.79, 2 Na 2.97
9 Br 0.2505 0.0143 0.2784  1 Mn 2.72, 2 Li 2.79-2.80, 2 Na 2.97-2.98
10 Br 0.2570 0.5140 0.2714  3 Li 2.79-2.80, 3 Na 2.97
11 Br 0.7430 0.4860 0.7286  3 Li 2.79-2.80, 3 Na 2.97
12 Li 0.5000 0.0000 0.5000  6 Br 2.79-2.80
13 Li 0.0000 0.5000 0.5000  6 Br 2.79-2.80
14 Li 0.5000 0.5000 0.5000  6 Br 2.79-2.80
15 Mn 0.0000 0.0000 0.5000  6 Br 2.72

---

Record 5
## Na2LiMnBr5 (PBE)

Data for a relaxed structure of Na2LiMnBr5.

Output
total DFT energy (no corrections)	-66.7	eV for the cell shown
ΔE_f (raw)	-11.25	eV/f.u.

Cell: 4.0999 10.9287 12.5665 Å, 90.00 90.00 100.81°
With the nearest neighbours (Å) after each atom.
Fractional coordinates of all 18 atoms:
1 Li 0.7979 0.5957 0.5413  3 Br 2.60-2.61
2 Li 0.2021 0.4043 0.0413  3 Br 2.60-2.61
3 Br 0.3371 0.6741 0.3434  1 Mn 2.52
4 Br 0.0542 0.1084 0.0447  2 Mn 2.54
5 Br 0.5313 0.0626 0.3018  1 Mn 2.43
6 Br 0.6935 0.3870 0.1688  2 Li 2.61, 1 Na 2.88
7 Br 0.9458 0.8916 0.5447  2 Mn 2.54
8 Br 0.3065 0.6130 0.6688  2 Li 2.61, 1 Na 2.88
9 Br 0.4687 0.9374 0.8018  1 Mn 2.43
10 Br 0.6629 0.3259 0.8434  1 Mn 2.52
11 Br 0.6794 0.3588 0.4997  1 Li 2.60
12 Br 0.3206 0.6412 0.9997  1 Li 2.60
13 Na 0.1724 0.3448 0.6676  5 Br 2.88-3.02
14 Na 0.8651 0.7302 0.8315  6 Br 3.05-3.16
15 Na 0.1349 0.2698 0.3315  6 Br 3.05-3.16
16 Na 0.8276 0.6552 0.1676  5 Br 2.88-3.02
17 Mn 0.4441 0.8881 0.4252  4 Br 2.43-2.54
18 Mn 0.5559 0.1119 0.9252  4 Br 2.43-2.54

---

Record 6
## Na2LiMnBr6 (PBE)

Data for a relaxed structure of Na2LiMnBr6.

Output
total DFT energy (no corrections)	-35.3	eV for the cell shown
ΔE_f (raw)	-11.53	eV/f.u.

Cell: 7.3891 7.2866 7.7522 Å, 57.80 61.25 56.83°
With the nearest neighbours (Å) after each atom.
Fractional coordinates of all 10 atoms:
1 Mn 0.3252 0.3291 0.0082  4 Br 2.43-2.51
2 Br 0.6037 0.1602 0.2836  1 Li 2.59, 1 Na 2.90
3 Br 0.0017 0.5472 0.2266  1 Mn 2.43
4 Br 0.2292 0.9846 0.2332  1 Mn 2.44
5 Br 0.6767 0.1034 0.7935  1 Mn 2.51, 1 Li 2.69
6 Br 0.0946 0.4750 0.7266  1 Li 2.55, 1 Mn 2.81
7 Br 0.4220 0.6836 0.7726  1 Mn 2.50, 1 Li 2.66
8 Li 0.7491 0.8310 0.6133  4 Br 2.55-2.69
9 Na 0.0124 0.0415 0.9532  6 Br 2.91-3.08
10 Na 0.5471 0.5060 0.4044  5 Br 2.90-3.11

---

Record 7
## LiMnNi2Br (PBE)

Data for a relaxed structure of LiMnNi2Br.

Output
total DFT energy (no corrections)	-21.4	eV for the cell shown
ΔE_f (raw)	2.97	eV/f.u.

Cell: 4.4410 4.9557 4.4410 Å, 90.00 90.00 90.00°
With the nearest neighbours (Å) after each atom.
Fractional coordinates of all 5 atoms:
1 Li 0.5000 0.5000 0.5000  4 Br 3.14, 8 Ni 3.33
2 Br 0.0000 0.5000 0.0000  2 Mn 2.48
3 Ni 0.0000 0.0000 0.5000  2 Mn 2.22
4 Ni 0.5000 0.0000 0.0000  2 Mn 2.22
5 Mn 0.0000 0.0000 0.0000  4 Ni 2.22, 2 Br 2.48

---

Question: Among the records above, which one has the highest ΔE_f (raw)?
Answer: LiMnNi2Br